No. 1
The following is a PBE calculation of a relaxed TlHg2As crystal, from the Alexandria database.

## Properties
The crystal system is tetragonal. The relative energy among the computed polymorphs is 35.5 meV per atom. The formation energy comes out at 0.1515 eV/atom. The calculated total energy comes out at -1.75 eV/atom. As for the spin magnetization: 0.00 μB per cell.

Unit cell a=8.103 b=8.103 c=6.642 alpha=52.41 beta=52.41 gamma=90.00
Fractional positions:
Hg 0.875 0.830 0.750
Hg 0.375 0.420 0.750
Hg 0.170 0.625 0.250
Hg 0.580 0.125 0.250
Tl 0.750 0.250 0.500
Tl 0.000 0.000 0.000
As 0.500 0.500 0.000
As 0.250 0.750 0.500



No. 2
The following is a PBE calculation of a relaxed TlHgAs crystal, from the Alexandria database.

## Properties
The crystal system is trigonal. The formation energy comes out at 0.2602 eV/atom. The calculated total energy comes out at -2.18 eV/atom. As for the spin magnetization: 0.00 μB per cell.

Unit cell a=3.216 b=3.216 c=8.895 alpha=90.00 beta=90.00 gamma=120.00
Fractional positions:
As 0.000 0.000 0.988
Hg 0.667 0.333 0.322
Tl 0.333 0.667 0.690